MgU2Co9 | the Alexandria database | PBE-GGA | relaxed; space-group type = R-3m (166)
1.0
4.784 0.000 0.000
2.392 4.143 0.000
2.392 1.381 8.123
Co U Mg
9 2 1
Direct
0.581 0.581 0.754
0.083 0.581 0.754
0.333 0.333 0.002
0.667 0.667 0.998
0.500 0.500 0.500
0.917 0.419 0.246
0.419 0.419 0.246
0.419 0.917 0.246
0.581 0.083 0.754
0.138 0.138 0.585
0.862 0.862 0.415
0.000 0.000 0.000

---

MgV2Co2 | the Alexandria database | PBE-GGA | relaxed; space-group type = I4/mmm (139)
1.0
-0.537 -1.166 3.742
-2.061 -3.129 -1.271
2.610 -4.635 1.021
V Co Mg
2 2 1
Direct
0.750 0.250 0.500
0.250 0.750 0.500
0.379 0.379 0.242
0.621 0.621 0.758
0.000 0.000 0.000

---

Mg2VCo | the Alexandria database | PBE-GGA | relaxed; space-group type = I-42d (122)
1.0
-6.165 2.796 -2.721
-3.751 -2.853 5.568
-4.576 2.154 2.800
V Mg Co
2 4 2
Direct
0.500 0.500 0.000
0.250 0.750 0.500
0.086 0.625 0.250
0.664 0.125 0.250
0.375 0.336 0.750
0.875 0.914 0.750
0.750 0.250 0.500
0.000 0.000 0.000

---

MgV2Co | the Alexandria database | PBE-GGA | relaxed; space-group type = I-42d (122)
1.0
-0.546 6.455 2.370
-6.412 0.381 -2.515
-4.393 2.535 2.123
Mg Co V
2 2 4
Direct
0.250 0.750 0.500
0.500 0.500 0.000
0.000 0.000 0.000
0.750 0.250 0.500
0.066 0.625 0.250
0.875 0.934 0.750
0.375 0.316 0.750
0.684 0.125 0.250

---

MgVCo3 | the Alexandria database | PBE-GGA | relaxed; space-group type = Pm-3m (221)
1.0
4.234 0.000 0.000
0.000 4.234 0.000
0.000 0.000 4.234
Mg V Co
1 1 3
Direct
0.500 0.500 0.500
0.000 0.000 0.000
0.000 0.000 0.500
0.500 0.000 0.000
0.000 0.500 0.000

---

Mg3VCo | the Alexandria database | PBE-GGA | relaxed; space-group type = Pm-3m (221)
1.0
-0.187 -1.099 -4.957
-0.812 -4.890 1.115
-5.012 0.833 0.004
Mg V Co
3 1 1
Direct
0.500 0.000 0.000
0.000 0.000 0.500
0.000 0.500 0.000
0.000 0.000 0.000
0.500 0.500 0.500

---

MgV2Co2 | the Alexandria database | PBE-GGA | relaxed; space-group type = P4/mbm (127)
1.0
-6.620 -1.369 -2.415
-0.907 -4.836 5.227
-0.946 1.848 1.546
Co V Mg
4 4 2
Direct
0.355 0.145 0.500
0.645 0.855 0.500
0.145 0.645 0.500
0.855 0.355 0.500
0.646 0.146 0.000
0.146 0.354 0.000
0.354 0.854 0.000
0.854 0.646 0.000
0.500 0.500 0.000
0.000 0.000 0.000

---

MgVCo | the Alexandria database | PBE-GGA | relaxed; space-group type = I4mm (107)
1.0
-1.069 -0.135 2.720
2.668 -0.641 1.016
0.168 5.410 -1.240
Mg V Co
1 1 1
Direct
0.010 0.010 0.021
0.302 0.302 0.603
0.688 0.688 0.376

---

Total magnetization
In order: 5.6, 0.0, 2.8, 0.0, 0.0, 6.5, 0.0, 1.6
Unit: μB/cell
VASP energy
In order: -89.20, -33.97, -33.14, -50.30, -28.24, -13.97, -67.60, -17.54
Unit: eV for the cell shown
Ρ
In order: 10631, 5583, 3792, 5093, 5515, 2315, 6078, 5052
Unit: kg/m³